Record 1
Density functional theory data (PBE) for crystalline Pr2ThHg8 at its relaxed geometry.

Cell lengths 15.926, 7.469, 5.240 Å; angles 90.00, 109.10, 90.00 degrees
Space group C2/m (No. 12)
One atom of each set of equivalent atoms:
Pr  0.191  0.000  0.192 x4
Th  0.000  0.500  0.500 x2
Hg  0.000  0.214  0.000 x4
Hg  0.147  0.212  0.648 x8
Hg  0.158  0.500  0.160 x4

## Properties
For the total energy, the calculation gives -2.048 eV per atom. The formation energy is -3.14 eV/f.u.

=====

Record 2
Density functional theory data (PBE) for crystalline Pr2ThHg5 at its relaxed geometry.

Cell lengths 5.307, 5.307, 15.321 Å; angles 90.00, 90.00, 90.00 degrees
Space group I4/mmm (No. 139)
One atom of each set of equivalent atoms:
Pr  0.000  0.000  0.233 x4
Th  0.000  0.000  0.500 x2
Hg  0.000  0.000  0.000 x2
Hg  0.000  0.500  0.120 x8

## Properties
For the total energy, the calculation gives -2.669 eV per atom. The formation energy is -2.87 eV/f.u.

=====

Record 3
Density functional theory data (PBE) for crystalline Pr4ThHg3 at its relaxed geometry.

Cell lengths 3.698, 5.629, 11.414 Å; angles 90.00, 90.00, 90.00 degrees
Space group Pmmm (No. 47)
One atom of each set of equivalent atoms:
Pr  0.000  0.000  0.000 x1
Pr  0.000  0.000  0.500 x1
Pr  0.000  0.500  0.239 x2
Th  0.500  0.500  0.500 x1
Hg  0.500  0.000  0.253 x2
Hg  0.500  0.500  0.000 x1

## Properties
For the total energy, the calculation gives -3.721 eV per atom. The formation energy is -2.32 eV/f.u.

=====

Record 4
Density functional theory data (PBE) for crystalline PrTh2Hg at its relaxed geometry.

Cell lengths 3.615, 3.615, 9.582 Å; angles 90.00, 90.00, 90.00 degrees
Space group P4/mmm (No. 123)
One atom of each set of equivalent atoms:
Pr  0.000  0.000  0.000 x1
Th  0.500  0.500  0.275 x2
Hg  0.000  0.000  0.500 x1

## Properties
For the total energy, the calculation gives -5.004 eV per atom. The formation energy is -0.10 eV/f.u. The energy above the most stable polymorph in this dataset is 0.17 eV per formula unit.